1.
VASP calculation (PBE-GGA) on In2SbSe after structural relaxation.

a b c (Å): 7.465 7.465 7.465
angles (deg): 90.00 90.00 90.00
Space group Fm-3m (No. 225)
Unique sites:
In: 0.250 0.250 0.250 (multiplicity 8)
Sb: 0.000 0.000 0.000 (multiplicity 4)
Se: 0.000 0.000 0.500 (multiplicity 4)

Calculated values
Calculated volume in Å³/cell: 416.0
Energy above the most stable polymorph in this dataset in eV/atom: 0.258
E_form (uncorrected) in kJ per mole of atoms: 1
Uncorrected energy in eV per atom: -3.257

---

2.
VASP calculation (PBE-GGA) on Ac3As2PRh9 after structural relaxation.

a b c (Å): 6.7101 6.7101 7.7708
angles (deg): 90.00 90.00 120.00
Space group P-3m1 (No. 164)
Unique sites:
Ac: 0.0000 0.0000 0.0000 (multiplicity 1)
Ac: 0.3333 0.6667 0.6691 (multiplicity 2)
As: 0.3333 0.6667 0.1968 (multiplicity 2)
P: 0.0000 0.0000 0.5000 (multiplicity 1)
Rh: 0.0000 0.5000 0.0000 (multiplicity 3)
Rh: 0.1445 0.2891 0.3045 (multiplicity 6)

Calculated values
Calculated volume in Å³/cell: 303.0
Uncorrected energy in eV per atom: -6.797
E_form in eV/atom: -0.58

---

3.
VASP calculation (PBE-GGA) on PaAl2Cl8 after structural relaxation.

a b c (Å): 13.747 8.750 6.676
angles (deg): 90.00 99.79 90.00
Space group C2/m (No. 12)
Unique sites:
Pa: 0.000 0.000 0.000 (multiplicity 2)
Al: 0.191 0.000 0.652 (multiplicity 4)
Cl: 0.107 0.189 0.761 (multiplicity 8)
Cl: 0.156 0.500 0.232 (multiplicity 4)
Cl: 0.170 0.000 0.310 (multiplicity 4)

Calculated values
Calculated volume in Å³/cell: 791.3
E_form (uncorrected) in kJ per mole of atoms: -130
Uncorrected energy in eV per atom: -4.230

---

4.
VASP calculation (PBE-GGA) on KLaOs after structural relaxation.

a b c (Å): 7.042 7.042 7.042
angles (deg): 90.00 90.00 90.00
Space group F-43m (No. 216)
Unique sites:
K: 0.000 0.000 0.000 (multiplicity 4)
La: 0.000 0.000 0.500 (multiplicity 4)
Os: 0.250 0.250 0.750 (multiplicity 4)

Calculated values
Calculated volume in Å³/cell: 349.3
Energy above the most stable polymorph in this dataset in eV/atom: 0.276
Uncorrected energy in eV per atom: -4.891
E_form in eV/atom: 0.86

---

5.
VASP calculation (PBE-GGA) on ErW2C2 after structural relaxation.

a b c (Å): 7.126 8.801 9.190
angles (deg): 90.00 90.00 90.00
Space group Fddd (No. 70, origin choice 2)
Unique sites:
Er: 0.125 0.125 0.125 (multiplicity 8)
W: 0.125 0.125 0.483 (multiplicity 16)
C: 0.125 0.334 0.625 (multiplicity 16)

Calculated values
Calculated volume in Å³/cell: 576.3
Uncorrected energy in eV per atom: -9.769
E_form in eV/atom: 0.01

---

6.
VASP calculation (PBE-GGA) on Pm2ZnCu3Ge4 after structural relaxation.

a b c (Å): 4.156 4.156 10.432
angles (deg): 90.00 90.00 90.00
Space group P-4m2 (No. 115)
Unique sites:
Pm: 0.000 0.500 0.249 (multiplicity 2)
Zn: 0.500 0.500 0.000 (multiplicity 1)
Cu: 0.000 0.000 0.000 (multiplicity 1)
Cu: 0.000 0.500 0.632 (multiplicity 2)
Ge: 0.000 0.000 0.500 (multiplicity 1)
Ge: 0.000 0.500 0.861 (multiplicity 2)
Ge: 0.500 0.500 0.500 (multiplicity 1)

Calculated values
Calculated volume in Å³/cell: 180.2
Uncorrected energy in eV per atom: -4.656
E_form in eV/atom: -0.50